First-principles (PBE with a Hubbard U) data for a geometry-optimized VAgH2O4 structure, as listed in Alexandria via LeMat-Bulk.

- ρ (g/cm³) = 3.482
- total energy (eV per cell) = -185.81

a = 3.738 Å, b = 7.256 Å, c = 15.812 Å
α = 90.00°, β = 90.00°, γ = 90.00°
Element x y z (fractional)
V 0.250 0.879 0.443
V 0.750 0.121 0.557
V 0.250 0.379 0.057
V 0.750 0.621 0.943
Ag 0.750 0.434 0.408
Ag 0.250 0.566 0.592
Ag 0.750 0.934 0.092
Ag 0.250 0.066 0.908
H 0.044 0.116 0.739
H 0.544 0.884 0.261
H 0.456 0.616 0.761
H 0.956 0.384 0.239
H 0.956 0.884 0.261
H 0.456 0.116 0.739
H 0.544 0.384 0.239
H 0.044 0.616 0.761
O 0.750 0.858 0.954
O 0.750 0.358 0.546
O 0.250 0.142 0.046
O 0.250 0.642 0.454
O 0.750 0.418 0.028
O 0.250 0.582 0.972
O 0.750 0.918 0.472
O 0.250 0.082 0.528
O 0.750 0.847 0.225
O 0.250 0.932 0.340
O 0.750 0.568 0.840
O 0.250 0.432 0.160
O 0.250 0.653 0.725
O 0.750 0.347 0.275
O 0.250 0.153 0.775
O 0.750 0.068 0.660